# 1
Computed, not measured: ZnNiBr2 after structural relaxation at the GGA-PBE level of DFT.

formation energy (no corrections) = 0.00 eV/atom
total magnetization = 0.000 μB/atom
uncorrected energy = -20.83 eV for the cell shown
energy relative to the lowest polymorph listed for this composition = 268.6 meV per atom

a b c (Å): 6.9939 6.9939 6.9939
angles (deg): 130.39 130.39 72.78
Last column: nearest neighbours and their distance in Å.
Fractional positions:
1 Zn 0.0000 0.0000 0.0000  4 Br 2.63
2 Zn 0.7500 0.2500 0.5000  4 Br 2.63
3 Ni 0.2500 0.7500 0.5000  4 Br 2.39
4 Ni 0.5000 0.5000 0.0000  4 Br 2.39
5 Br 0.1594 0.6250 0.0344  2 Ni 2.39, 2 Zn 2.63
6 Br 0.3750 0.4094 0.5344  2 Ni 2.39, 2 Zn 2.63
7 Br 0.5906 0.1250 0.9656  2 Ni 2.39, 2 Zn 2.63
8 Br 0.8750 0.8406 0.4656  2 Ni 2.39, 2 Zn 2.63

=====

# 2
Computed, not measured: LuTaMnRu after structural relaxation at the GGA-PBE level of DFT.

total magnetization = 0.127 μB/atom
ΔH_f (0 K) = -181 meV/atom
uncorrected energy = -35.54 eV for the cell shown

a b c (Å): 4.5271 4.5271 4.5271
angles (deg): 60.00 60.00 60.00
Last column: nearest neighbours and their distance in Å.
Fractional positions:
1 Lu 0.0000 0.0000 0.0000  4 Mn 2.77, 4 Ru 2.77
2 Ta 0.5000 0.5000 0.5000  4 Ru 2.77, 4 Mn 2.77
3 Mn 0.2500 0.2500 0.2500  4 Ta 2.77, 4 Lu 2.77
4 Ru 0.7500 0.7500 0.7500  4 Lu 2.77, 4 Ta 2.77

=====

# 3
Computed, not measured: Ba2PmTlO5 after structural relaxation at the GGA-PBE level of DFT.

formation energy (no corrections) = -2.27 eV/atom
total magnetization = 0.000 μB/atom
uncorrected energy = -112.29 eV for the cell shown

a b c (Å): 7.8248 7.8248 11.6442
angles (deg): 90.00 90.00 152.77
Last column: nearest neighbours and their distance in Å.
Fractional positions:
1 Ba 0.1123 0.8877 0.5000  5 O 2.66-2.94
2 Ba 0.1367 0.8633 0.0895  6 O 2.73-2.93
3 Ba 0.8633 0.1367 0.5895  6 O 2.73-2.93
4 Ba 0.8877 0.1123 0.0000  5 O 2.66-2.94
5 Pm 0.2184 0.7816 0.8091  6 O 2.30-2.50
6 Pm 0.7816 0.2184 0.3091  6 O 2.30-2.50
7 Tl 0.4813 0.5187 0.2684  4 O 2.15-2.31
8 Tl 0.5187 0.4813 0.7684  4 O 2.15-2.31
9 O 0.0583 0.9417 0.8593  2 Tl 2.21
10 O 0.2817 0.7183 0.4427  2 Pm 2.41, 1 Ba 2.66
11 O 0.3083 0.6917 0.1815  2 Pm 2.40
12 O 0.3694 0.6306 0.8052  1 Pm 2.30, 1 Tl 2.31
13 O 0.4954 0.5046 0.5861  1 Tl 2.15
14 O 0.5046 0.4954 0.0861  1 Tl 2.15
15 O 0.6306 0.3694 0.3052  1 Pm 2.30, 1 Tl 2.31
16 O 0.6917 0.3083 0.6815  2 Pm 2.40
17 O 0.7183 0.2817 0.9427  2 Pm 2.41, 1 Ba 2.66
18 O 0.9417 0.0583 0.3593  2 Tl 2.21

=====

# 4
Computed, not measured: Ce6GaCo after structural relaxation at the GGA-PBE level of DFT.

total magnetization = 0.232 μB/atom
ΔH_f (0 K) = -95 meV/atom
uncorrected energy = -46.50 eV for the cell shown

a b c (Å): 5.9468 5.9468 6.1251
angles (deg): 99.53 99.53 102.48
Last column: nearest neighbours and their distance in Å.
Fractional positions:
1 Ce 0.0794 0.6656 0.6973  1 Co 2.66, 1 Ce 2.73
2 Ce 0.3081 0.3081 0.8940  1 Co 2.54, 1 Ce 2.81
3 Ce 0.3344 0.9206 0.3027  1 Co 2.66, 1 Ce 2.73
4 Ce 0.6656 0.0794 0.6973  1 Co 2.66, 1 Ce 2.73
5 Ce 0.6919 0.6919 0.1060  1 Co 2.54, 1 Ce 2.81
6 Ce 0.9206 0.3344 0.3027  1 Co 2.66, 1 Ce 2.73
7 Ga 0.5000 0.5000 0.5000  10 Ce 3.11-3.33
8 Co 0.0000 0.0000 0.0000  6 Ce 2.54-2.66